Density functional theory data (PBE) for crystalline MgHgPO at its relaxed geometry.

Cell and atoms, written as POSCAR:
```
MgHgPO
1.0
-3.435 -2.198 0.370
2.049 -3.382 -1.065
1.971 -1.591 8.844
P O Mg Hg
2 2 2 2
direct
0.500 0.000 0.314
0.000 0.500 0.686
0.500 0.500 0.000
0.000 0.000 0.000
0.500 0.000 0.009
0.000 0.500 0.991
0.000 0.000 0.500
0.500 0.500 0.500
```

Results
For the relative energy among the computed polymorphs, the calculation gives 0.000 eV/atom. The density is 5.9 g/cm3.

---

Density functional theory data (PBE) for crystalline MgHg2TeO6 at its relaxed geometry.

Cell and atoms, written as POSCAR:
```
MgHg2TeO6
1.0
0.000 3.929 3.929
3.929 0.000 3.929
3.929 3.929 0.000
Te Hg O Mg
1 2 6 1
direct
0.000 0.000 0.000
0.250 0.250 0.250
0.750 0.750 0.750
0.756 0.756 0.244
0.244 0.756 0.756
0.756 0.244 0.244
0.244 0.244 0.756
0.244 0.756 0.244
0.756 0.244 0.756
0.500 0.500 0.500
```

Results
The density is 8.9 g/cm3.

---

Density functional theory data (PBE) for crystalline MgSi2HgP4 at its relaxed geometry.

Cell and atoms, written as POSCAR:
```
MgSi2HgP4
1.0
-2.859 2.859 5.223
2.859 -2.859 5.223
2.859 2.859 -5.223
P Si Mg Hg
4 2 1 1
direct
0.079 0.627 0.960
0.666 0.119 0.040
0.881 0.921 0.547
0.373 0.334 0.453
0.000 0.000 0.000
0.750 0.250 0.500
0.250 0.750 0.500
0.500 0.500 0.000
```

Results
The density is 3.9 g/cm3.

---

Density functional theory data (PBE) for crystalline MgPaHg at its relaxed geometry.

Cell and atoms, written as POSCAR:
```
MgPaHg
1.0
-3.519 -3.537 -0.454
-3.184 -0.865 3.770
-4.818 1.302 -0.441
Pa Mg Hg
1 1 1
direct
0.000 0.000 0.000
0.750 0.750 0.750
0.250 0.250 0.250
```

Results
For the relative energy among the computed polymorphs, the calculation gives 0.485 eV/atom. The value obtained for the magnetic moment is 1.00 μB/f.u. The density is 8.5 g/cm3.

---

Density functional theory data (PBE) for crystalline MgPaHg at its relaxed geometry.

Cell and atoms, written as POSCAR:
```
MgPaHg
1.0
0.000 3.465 3.465
3.465 0.000 3.465
3.465 3.465 0.000
Pa Hg Mg
1 1 1
direct
0.750 0.750 0.750
0.000 0.000 0.000
0.250 0.250 0.250
```

Results
For the relative energy among the computed polymorphs, the calculation gives 0.000 eV/atom. The value obtained for the magnetic moment is 1.01 μB/f.u. The density is 9.1 g/cm3.

---

Density functional theory data (PBE) for crystalline Mg6HgPb2 at its relaxed geometry.

Cell and atoms, written as POSCAR:
```
Mg6HgPb2
1.0
-3.095 -6.308 -3.856
7.248 2.766 -2.012
1.617 -2.365 2.572
Hg Pb Mg
1 2 6
direct
0.000 0.000 0.000
0.333 0.667 0.500
0.667 0.333 0.500
0.000 0.741 0.500
0.259 0.259 0.500
0.629 0.629 0.000
0.371 0.000 0.000
0.741 0.000 0.500
0.000 0.371 0.000
```

Results
The density is 5.9 g/cm3.

---

Density functional theory data (PBE) for crystalline MgHgPdPb at its relaxed geometry.

Cell and atoms, written as POSCAR:
```
MgHgPdPb
1.0
0.000 3.511 3.511
3.511 0.000 3.511
3.511 3.511 0.000
Pd Mg Hg Pb
1 1 1 1
direct
0.000 0.000 0.000
0.750 0.750 0.750
0.500 0.500 0.500
0.250 0.250 0.250
```

Results
For the relative energy among the computed polymorphs, the calculation gives 0.000 eV/atom. The density is 10.3 g/cm3.

---

Density functional theory data (PBE) for crystalline Sr2MgHgPb2 at its relaxed geometry.

Cell and atoms, written as POSCAR:
```
Sr2MgHgPb2
1.0
-2.195 -0.037 -4.614
2.634 -4.072 1.609
-6.852 -3.134 3.286
Sr Hg Pb Mg
2 1 2 1
direct
0.667 0.333 0.752
0.667 0.333 0.243
0.000 0.000 0.051
0.000 0.000 0.467
0.333 0.667 0.950
0.333 0.667 0.538
```

Results
The density is 7.3 g/cm3.

---

Density functional theory data (PBE) for crystalline Mg2HgPd5 at its relaxed geometry.

Cell and atoms, written as POSCAR:
```
Mg2HgPd5
1.0
-3.547 -2.579 -3.474
-1.111 -3.203 4.450
-0.697 5.512 0.649
Mg Pd Hg
2 5 1
direct
0.222 0.722 0.500
0.722 0.222 0.500
0.722 0.222 0.000
0.722 0.722 0.500
0.722 0.722 0.000
0.222 0.722 0.000
0.222 0.222 0.500
0.222 0.222 0.000
```

Results
The density is 10.0 g/cm3.

---

Density functional theory data (PBE) for crystalline MgHgPd at its relaxed geometry.

Cell and atoms, written as POSCAR:
```
MgHgPd
1.0
2.257 1.303 3.685
-2.257 1.303 3.685
0.000 -2.606 3.685
Mg Pd Hg
1 1 1
direct
0.750 0.750 0.750
0.000 0.000 0.000
0.250 0.250 0.250
```

Results
The density is 8.5 g/cm3.

---

Density functional theory data (PBE) for crystalline Mg3Hg2Pd at its relaxed geometry.

Cell and atoms, written as POSCAR:
```
Mg3Hg2Pd
1.0
-1.468 2.973 0.127
-2.974 -1.470 0.028
0.260 -0.322 10.538
Hg Mg Pd
2 3 1
direct
0.000 0.000 0.819
0.000 0.000 0.181
0.500 0.500 0.000
0.500 0.500 0.360
0.500 0.500 0.640
0.000 0.000 0.500
```

Results
The density is 8.3 g/cm3.

---

Density functional theory data (PBE) for crystalline Pr2Mg3HgPd2 at its relaxed geometry.

Cell and atoms, written as POSCAR:
```
Pr2Mg3HgPd2
1.0
10.911 -1.742 0.000
10.911 1.742 0.000
-0.388 0.000 5.036
Mg Hg Pd Pr
3 1 2 2
direct
0.257 0.257 0.868
0.742 0.742 0.389
0.535 0.535 0.386
0.471 0.471 0.865
0.145 0.145 0.435
0.848 0.848 0.805
0.377 0.377 0.335
0.625 0.625 0.917
```

Results
The value obtained for the magnetic moment is 0.01 μB/f.u. The density is 6.7 g/cm3.

---

Number 1: E -3.81 eV/atom. Number 2: E -4.38 eV/atom. Number 3: E -4.54 eV/atom. Number 4: E -2.96 eV/atom. Number 5: E -3.45 eV/atom. Number 6: E -2.00 eV/atom. Number 7: E -2.82 eV/atom. Number 8: E -2.55 eV/atom. Number 9: E -4.17 eV/atom. Number 10: E -2.65 eV/atom. Number 11: E -2.14 eV/atom. Number 12: E -3.46 eV/atom.